# Ta2BeB

A geometry-optimized Ta2BeB structure (PBE-GGA, the Alexandria database).

POSCAR file:
```
Ta2BeB
1.0
-1.649 -2.359 -1.521
2.107 -3.258 2.770
-5.684 2.162 2.810
Ta Be B
4 2 2
Direct
0.750 0.212 0.422 Ta
0.250 0.795 0.068 Ta
0.750 0.205 0.932 Ta
0.250 0.788 0.578 Ta
0.250 0.373 0.720 Be
0.750 0.627 0.280 Be
0.750 0.629 0.783 B
0.250 0.371 0.217 B
```

**Formation enthalpy at 0 K**: -584 meV/atom
**Relative energy among the computed polymorphs**: 0.000 eV/atom
**Density**: 13025 kg/m³